# ZnSiPt (PBE-GGA, relaxed)
data_ZnSiPt
_cell_length_a 2.9928
_cell_length_b 2.9928
_cell_length_c 5.9342
_cell_angle_alpha 90.00
_cell_angle_beta 90.00
_cell_angle_gamma 120.00
_symmetry_space_group_name_H-M 'P 3 m 1'
_symmetry_Int_Tables_number 156
_symmetry_space_group_name_Hall 'P 3 -2"'
loop_
_atom_site_label
_atom_site_type_symbol
_atom_site_fract_x
_atom_site_fract_y
_atom_site_fract_z
Zn1 Zn 0.0000 0.0000 0.0000
Si1 Si 0.3333 0.6667 0.6501
Pt1 Pt 0.6667 0.3333 0.3540
# - Spin magnetization: 0.000 μB/f.u.
# - Energy relative to the elements, uncorrected: -241 meV per atom

=====

# Ca6Ni2Au (PBE-GGA, relaxed)
data_Ca6Ni2Au
_cell_length_a 9.604
_cell_length_b 9.881
_cell_length_c 10.469
_cell_angle_alpha 90.00
_cell_angle_beta 90.00
_cell_angle_gamma 90.00
_symmetry_space_group_name_H-M 'I m m m'
_symmetry_Int_Tables_number 71
_symmetry_space_group_name_Hall '-I 2 2'
loop_
_atom_site_label
_atom_site_type_symbol
_atom_site_fract_x
_atom_site_fract_y
_atom_site_fract_z
Ca1 Ca 0.000 0.198 0.229
Ca2 Ca 0.195 0.500 0.174
Ca3 Ca 0.214 0.319 0.500
Ni1 Ni 0.000 0.377 0.000
Ni2 Ni 0.000 0.500 0.388
Au1 Au 0.000 0.000 0.000
Au2 Au 0.000 0.000 0.500
# - ΔE_f: -0.2489 eV per atom
# - Spin magnetization: 0.000 μB/f.u.

=====

# GdThIr (PBE-GGA, relaxed)
data_GdThIr
_cell_length_a 6.960
_cell_length_b 6.960
_cell_length_c 6.960
_cell_angle_alpha 90.00
_cell_angle_beta 90.00
_cell_angle_gamma 90.00
_symmetry_space_group_name_H-M 'F -4 3 m'
_symmetry_Int_Tables_number 216
_symmetry_space_group_name_Hall 'F -4 2 3'
loop_
_atom_site_label
_atom_site_type_symbol
_atom_site_fract_x
_atom_site_fract_y
_atom_site_fract_z
Gd1 Gd 0.000 0.000 0.000
Th1 Th 0.000 0.000 0.500
Ir1 Ir 0.250 0.250 0.750
# - ΔE_f: -0.5529 eV per atom
# - Spin magnetization: 7.234 μB/f.u.
# - Polymorph energy (0 for the lowest one): 6 meV/atom